No. 1
A plane-wave DFT calculation with PBE was carried out for an optimized crystal structure of BaCa2LaHg4.

Structure (POSCAR):
```
BaCa2LaHg4
1.0
5.5387 0.0000 0.0000
2.7693 4.7966 0.0000
2.7693 1.5989 9.1698
Ca Hg Ba La
2 4 1 1
direct
0.2489 0.2489 0.2533
0.7511 0.7511 0.7467
0.6190 0.6190 0.1431
0.3810 0.3810 0.8569
0.8715 0.8715 0.3856
0.1285 0.1285 0.6144
0.0000 0.0000 0.0000
0.5000 0.5000 0.5000
```

Properties
**Space-group type**: R-3m (166)
**Raw total energy**: -16.25 eV per cell
**ΔH_f (0 K)**: -0.5242 eV/atom

No. 2
A plane-wave DFT calculation with PBE was carried out for an optimized crystal structure of BaCaLa2Hg4.

Structure (POSCAR):
```
BaCaLa2Hg4
1.0
5.5616 0.0000 0.0000
2.7808 4.8165 0.0000
2.7808 1.6055 9.2010
Hg Ca La Ba
4 1 2 1
direct
0.1276 0.1276 0.6171
0.6189 0.6189 0.1432
0.8724 0.8724 0.3829
0.3811 0.3811 0.8568
0.5000 0.5000 0.5000
0.7537 0.7537 0.7389
0.2463 0.2463 0.2611
0.0000 0.0000 0.0000
```

Properties
**Space-group type**: R-3m (166)
**Raw total energy**: -18.99 eV per cell
**ΔH_f (0 K)**: -0.5008 eV/atom

No. 3
A plane-wave DFT calculation with PBE was carried out for an optimized crystal structure of Ba2LiCaHg.

Structure (POSCAR):
```
Ba2LiCaHg
1.0
-3.8179 2.5653 -4.8705
-3.0778 -5.9090 -0.6996
-3.5317 1.4230 3.5180
Hg Ba Li Ca
1 2 1 1
direct
0.0000 0.0000 0.0000
0.5000 0.0000 0.0000
0.0000 0.5000 0.0000
0.0000 0.0000 0.5000
0.5000 0.5000 0.5000
```

Properties
**Space-group type**: P4/mmm (123)
**Raw total energy**: -8.45 eV per cell
**ΔH_f (0 K)**: -0.0765 eV/atom
**Excess energy over the best structure of this formula in the dataset**: 0.000 eV/atom

No. 4
A plane-wave DFT calculation with PBE was carried out for an optimized crystal structure of Ba2LiCaHg.

Structure (POSCAR):
```
Ba2LiCaHg
1.0
6.5767 0.0000 0.0000
0.0000 6.5767 0.0000
0.0000 0.0000 6.0274
Li Ca Hg Ba
1 1 1 2
direct
0.5000 0.5000 0.5000
0.0000 0.0000 0.5000
0.0000 0.0000 0.0000
0.0000 0.5000 0.0000
0.5000 0.0000 0.0000
```

Properties
**Space-group type**: P4/mmm (123)
**Raw total energy**: -8.30 eV per cell
**ΔH_f (0 K)**: -0.0469 eV/atom
**Excess energy over the best structure of this formula in the dataset**: 0.030 eV/atom

No. 5
A plane-wave DFT calculation with PBE was carried out for an optimized crystal structure of BaLi2Ca2Hg2.

Structure (POSCAR):
```
BaLi2Ca2Hg2
1.0
-1.3820 3.7026 -3.2305
-0.1039 -0.9027 -5.0229
-9.7004 -1.8931 -2.0527
Hg Ca Ba Li
2 2 1 2
direct
0.2482 0.2482 0.2552
0.7518 0.7518 0.7448
0.8676 0.8676 0.3973
0.1324 0.1324 0.6027
0.0000 0.0000 0.0000
0.5822 0.5822 0.2533
0.4178 0.4178 0.7467
```

Properties
**Space-group type**: R-3m (166)
**Raw total energy**: -12.24 eV per cell
**ΔH_f (0 K)**: -0.2688 eV/atom

No. 6
A plane-wave DFT calculation with PBE was carried out for an optimized crystal structure of Ba3Li2Ca2Hg4.

Structure (POSCAR):
```
Ba3Li2Ca2Hg4
1.0
-0.6949 5.0431 0.2961
-0.6096 -2.4004 -4.4576
-16.8842 -2.5423 3.6780
Hg Li Ba Ca
4 2 3 2
direct
0.3333 0.6667 0.8729
0.3333 0.6667 0.3704
0.6667 0.3333 0.1271
0.6667 0.3333 0.6296
0.6667 0.3333 0.8685
0.3333 0.6667 0.1315
0.0000 0.0000 0.7463
0.0000 0.0000 0.2537
0.0000 0.0000 0.0000
0.6667 0.3333 0.4338
0.3333 0.6667 0.5662
```

Properties
**Space-group type**: P-3m1 (164)
**Raw total energy**: -18.27 eV per cell
**ΔH_f (0 K)**: -0.3152 eV/atom

No. 7
A plane-wave DFT calculation with PBE was carried out for an optimized crystal structure of BaCa2MgHg.

Structure (POSCAR):
```
BaCa2MgHg
1.0
-2.6581 -0.7192 5.3197
5.3293 -1.0657 2.5188
0.5907 5.3665 1.0207
Mg Ba Ca Hg
1 1 2 1
direct
0.0000 0.0000 0.5000
0.5000 0.5000 0.5000
0.0000 0.5000 0.0000
0.5000 0.0000 0.0000
0.0000 0.0000 0.0000
```

Properties
**Space-group type**: P4/mmm (123)
**Raw total energy**: -8.45 eV per cell
**ΔH_f (0 K)**: -0.1248 eV/atom

No. 8
A plane-wave DFT calculation with PBE was carried out for an optimized crystal structure of BaCaMg2Hg2.

Structure (POSCAR):
```
BaCaMg2Hg2
1.0
-2.6218 4.0648 1.5156
2.2537 -2.9831 3.4228
6.7710 4.5507 -0.4921
Mg Hg Ca Ba
2 2 1 1
direct
0.6667 0.3333 0.3105
0.3333 0.6667 0.6895
0.3333 0.6667 0.2988
0.6667 0.3333 0.7012
0.0000 0.0000 0.5000
0.0000 0.0000 0.0000
```

Properties
**Space-group type**: P-3m1 (164)
**Raw total energy**: -9.81 eV per cell
**ΔH_f (0 K)**: -0.3495 eV/atom

No. 9
A plane-wave DFT calculation with PBE was carried out for an optimized crystal structure of BaCaMg2Hg.

Structure (POSCAR):
```
BaCaMg2Hg
1.0
-0.6153 -5.4444 -0.2035
2.4704 -0.4613 4.8730
-5.2018 0.4876 2.6832
Ca Mg Ba Hg
1 2 1 1
direct
0.0000 0.0000 0.5000
0.5000 0.0000 0.0000
0.0000 0.5000 0.0000
0.5000 0.5000 0.5000
0.0000 0.0000 0.0000
```

Properties
**Space-group type**: P4/mmm (123)
**Raw total energy**: -7.83 eV per cell
**ΔH_f (0 K)**: -0.0822 eV/atom

No. 10
A plane-wave DFT calculation with PBE was carried out for an optimized crystal structure of BaCa2MgHg4.

Structure (POSCAR):
```
BaCa2MgHg4
1.0
5.2594 0.0000 0.0000
2.6297 4.5548 0.0000
2.6297 1.5183 9.8244
Mg Ba Hg Ca
1 1 4 2
direct
0.5000 0.5000 0.5000
0.0000 0.0000 0.0000
0.3954 0.3954 0.8139
0.1265 0.1265 0.6206
0.6046 0.6046 0.1861
0.8735 0.8735 0.3794
0.7655 0.7655 0.7034
0.2345 0.2345 0.2966
```

Properties
**Space-group type**: R-3m (166)
**Raw total energy**: -12.26 eV per cell
**ΔH_f (0 K)**: -0.4417 eV/atom

No. 11
A plane-wave DFT calculation with PBE was carried out for an optimized crystal structure of Ba3Ca2Mg2Hg4.

Structure (POSCAR):
```
Ba3Ca2Mg2Hg4
1.0
-0.9088 0.2298 -5.3412
4.9979 -0.9840 1.8601
-2.8399 -14.7070 -0.1495
Ca Ba Hg Mg
2 3 4 2
direct
0.3333 0.6667 0.5726
0.6667 0.3333 0.4274
0.0000 0.0000 0.0000
0.0000 0.0000 0.7335
0.0000 0.0000 0.2665
0.3333 0.6667 0.8583
0.6667 0.3333 0.1417
0.6667 0.3333 0.6379
0.3333 0.6667 0.3621
0.3333 0.6667 0.1489
0.6667 0.3333 0.8511
```

Properties
**Space-group type**: P-3m1 (164)
**Raw total energy**: -17.65 eV per cell
**ΔH_f (0 K)**: -0.3168 eV/atom

No. 12
A plane-wave DFT calculation with PBE was carried out for an optimized crystal structure of Ba2CaMgHg.

Structure (POSCAR):
```
Ba2CaMgHg
1.0
-3.1970 5.8101 -0.1630
-0.8139 -0.6317 -6.5531
-4.6530 -2.5373 0.8225
Hg Ba Mg Ca
1 2 1 1
direct
0.0000 0.0000 0.0000
0.5000 0.0000 0.0000
0.0000 0.5000 0.0000
0.0000 0.0000 0.5000
0.5000 0.5000 0.5000
```

Properties
**Space-group type**: P4/mmm (123)
**Raw total energy**: -8.02 eV per cell
**ΔH_f (0 K)**: -0.0552 eV/atom